Below is a PBEsol-optimized structure of Zr2WAu, with properties calculated at the meta-GGA SCAN level.

Values from the calculation:
**DFT formation energy**: 0.0302 eV/atom
**D(E_F)**: 1.0770 states/eV per atom
**Spin magnetization**: 0.0 μB per cell

```
data_Zr2WAu
_cell_length_a 3.4760
_cell_length_b 3.4760
_cell_length_c 6.1658
_cell_angle_alpha 90.00
_cell_angle_beta 90.00
_cell_angle_gamma 90.00
_space_group_name_H-M_alt 'P 4 m m'
_space_group_IT_number 99
_space_group_name_Hall 'P 4 -2'
loop_
_atom_site_label
_atom_site_type_symbol
_atom_site_fract_x
_atom_site_fract_y
_atom_site_fract_z
Zr1 Zr 0.0000 0.0000 0.0000
Zr2 Zr 0.5000 0.5000 0.2836
W1 W 0.5000 0.5000 0.7764
Au1 Au 0.0000 0.0000 0.5227
```

=====

Below is a PBEsol-optimized structure of Sn3PtI, with properties calculated at the meta-GGA SCAN level.

Values from the calculation:
**Uncorrected formation energy**: 1.583 eV/atom
**D(E_F)**: 0.6783 states/eV per atom
**Spin magnetization**: 0.0 μB per cell

```
data_Sn3PtI
_cell_length_a 5.6153
_cell_length_b 5.6153
_cell_length_c 5.6153
_cell_angle_alpha 90.00
_cell_angle_beta 90.00
_cell_angle_gamma 90.00
_space_group_name_H-M_alt 'P m -3 m'
_space_group_IT_number 221
_space_group_name_Hall '-P 4 2 3'
loop_
_atom_site_label
_atom_site_type_symbol
_atom_site_fract_x
_atom_site_fract_y
_atom_site_fract_z
Sn1 Sn 0.0000 0.0000 0.5000
Pt1 Pt 0.5000 0.5000 0.5000
I1 I 0.0000 0.0000 0.0000
```

=====

Below is a PBEsol-optimized structure of YTaBe3, with properties calculated at the meta-GGA SCAN level.

Values from the calculation:
**DFT formation energy**: 2.0679 eV/atom
**D(E_F)**: 0.3608 states/eV per atom
**Spin magnetization**: 1.7 μB per cell

```
data_YTaBe3
_cell_length_a 4.3307
_cell_length_b 4.3307
_cell_length_c 4.3307
_cell_angle_alpha 90.00
_cell_angle_beta 90.00
_cell_angle_gamma 90.00
_space_group_name_H-M_alt 'P m -3 m'
_space_group_IT_number 221
_space_group_name_Hall '-P 4 2 3'
loop_
_atom_site_label
_atom_site_type_symbol
_atom_site_fract_x
_atom_site_fract_y
_atom_site_fract_z
Y1 Y 0.0000 0.0000 0.0000
Ta1 Ta 0.5000 0.5000 0.5000
Be1 Be 0.0000 0.0000 0.5000
```

=====

Below is a PBEsol-optimized structure of Zr2RhBr, with properties calculated at the meta-GGA SCAN level.

Values from the calculation:
**Uncorrected formation energy**: -0.435 eV/atom
**D(E_F)**: 0.6522 states/eV per atom
**Spin magnetization**: 0.0 μB per cell

```
data_Zr2RhBr
_cell_length_a 6.3665
_cell_length_b 7.4273
_cell_length_c 3.1579
_cell_angle_alpha 90.00
_cell_angle_beta 101.14
_cell_angle_gamma 90.00
_space_group_name_H-M_alt 'C 1 2/m 1'
_space_group_IT_number 12
_space_group_name_Hall '-C 2y'
loop_
_atom_site_label
_atom_site_type_symbol
_atom_site_fract_x
_atom_site_fract_y
_atom_site_fract_z
Zr1 Zr 0.2500 0.2500 0.0000
Rh1 Rh 0.0000 0.0000 0.5000
Br1 Br 0.0000 0.5000 0.5000
```

=====

Below is a PBEsol-optimized structure of BaScP2, with properties calculated at the meta-GGA SCAN level.

Values from the calculation:
**DFT formation energy**: -0.8345 eV/atom
**D(E_F)**: 0.9399 states/eV per atom
**Spin magnetization**: 0.0 μB per cell

```
data_BaScP2
_cell_length_a 5.9283
_cell_length_b 5.9283
_cell_length_c 14.6476
_cell_angle_alpha 90.00
_cell_angle_beta 90.00
_cell_angle_gamma 90.00
_space_group_name_H-M_alt 'I -4 2 d'
_space_group_IT_number 122
_space_group_name_Hall 'I -4 2bw'
loop_
_atom_site_label
_atom_site_type_symbol
_atom_site_fract_x
_atom_site_fract_y
_atom_site_fract_z
Ba1 Ba 0.0000 0.0000 0.0000
Sc1 Sc 0.0000 0.0000 0.5000
P1 P 0.1330 0.2500 0.6250
```

=====

Below is a PBEsol-optimized structure of SnGeC2N, with properties calculated at the meta-GGA SCAN level.

Values from the calculation:
**Uncorrected formation energy**: 2.560 eV/atom
**D(E_F)**: 0.4060 states/eV per atom
**Spin magnetization**: 0.0 μB per cell

```
data_SnGeC2N
_cell_length_a 4.0764
_cell_length_b 4.0764
_cell_length_c 3.7587
_cell_angle_alpha 90.00
_cell_angle_beta 90.00
_cell_angle_gamma 90.00
_space_group_name_H-M_alt 'P 4/m m m'
_space_group_IT_number 123
_space_group_name_Hall '-P 4 2'
loop_
_atom_site_label
_atom_site_type_symbol
_atom_site_fract_x
_atom_site_fract_y
_atom_site_fract_z
Sn1 Sn 0.0000 0.0000 0.0000
Ge1 Ge 0.5000 0.5000 0.0000
C1 C 0.0000 0.5000 0.5000
N1 N 0.5000 0.5000 0.5000
```